[1]
# Tb3Pr6Dy2Y (GGA-PBE, relaxed)
data_Tb3Pr6Dy2Y
_chemical_formula_sum 'Tb6 Pr12 Dy4 Y2'
_space_group_name_H-M_alt 'C 1 2/m 1'
_space_group_IT_number 12
_cell_length_a 6.3227
_cell_length_b 10.9514
_cell_length_c 11.9262
_cell_angle_alpha 90.00
_cell_angle_beta 100.14
_cell_angle_gamma 90.00
loop_
_space_group_symop_operation_xyz
'x,y,z'
'-x,-y,-z'
'-x,y,-z'
'x,-y,z'
'x+1/2,y+1/2,z'
'-x+1/2,-y+1/2,-z'
'-x+1/2,y+1/2,-z'
'x+1/2,-y+1/2,z'
loop_
_atom_site_label
_atom_site_type_symbol
_atom_site_fract_x
_atom_site_fract_y
_atom_site_fract_z
Tb1 Tb 0.0000 0.0000 0.0000
Tb2 Tb 0.0000 0.3332 0.0000
Pr1 Pr 0.2492 0.1671 0.2503
Pr2 Pr 0.2497 0.0000 0.7499
Dy1 Dy 0.0000 0.1667 0.5000
Y1 Y 0.0000 0.5000 0.5000
# Electronic total energy ... -0.1780 Ha/atom
# Formation energy from the elements ... 0.010 eV per atom

[2]
# HoReO4F (GGA-PBE, relaxed)
data_HoReO4F
_chemical_formula_sum 'Ho4 Re4 O16 F4'
_space_group_name_H-M_alt 'C 1 2/m 1'
_space_group_IT_number 12
_cell_length_a 9.6774
_cell_length_b 7.0647
_cell_length_c 7.0186
_cell_angle_alpha 90.00
_cell_angle_beta 107.01
_cell_angle_gamma 90.00
loop_
_space_group_symop_operation_xyz
'x,y,z'
'-x,-y,-z'
'-x,y,-z'
'x,-y,z'
'x+1/2,y+1/2,z'
'-x+1/2,-y+1/2,-z'
'-x+1/2,y+1/2,-z'
'x+1/2,-y+1/2,z'
loop_
_atom_site_label
_atom_site_type_symbol
_atom_site_fract_x
_atom_site_fract_y
_atom_site_fract_z
Ho1 Ho 0.1988 0.0000 0.0875
Re1 Re 0.1463 0.5000 0.2953
O1 O 0.0431 0.5000 0.7668
O2 O 0.2111 0.3199 0.1497
O3 O 0.2440 0.5000 0.5486
F1 F 0.0071 0.0000 0.8273
# Electronic total energy ... -0.2948 Ha/atom
# E_form (uncorrected) ... -1681 kJ/mol of formula units

[3]
# Sm2Ga2Sn (GGA-PBE, relaxed)
data_Sm2Ga2Sn
_chemical_formula_sum 'Sm4 Ga4 Sn2'
_space_group_name_H-M_alt 'C m m m'
_space_group_IT_number 65
_space_group_name_Hall '-C 2 2'
_cell_length_a 4.1399
_cell_length_b 13.9555
_cell_length_c 4.2458
_cell_angle_alpha 90.00
_cell_angle_beta 90.00
_cell_angle_gamma 90.00
loop_
_atom_site_label
_atom_site_type_symbol
_atom_site_fract_x
_atom_site_fract_y
_atom_site_fract_z
Sm1 Sm 0.0000 0.1294 0.0000
Ga1 Ga 0.0000 0.2987 0.5000
Sn1 Sn 0.0000 0.5000 0.5000
# Electronic total energy ... -0.1675 Ha/atom
# Formation energy from the elements ... -0.658 eV per atom